! Cs8Au3SI4 (PBE-GGA, optimized geometry); values from VASP
! - spin magnetization (μB/cell) = 1.090
! - volume (Å³/cell) = 886.04
! - energy relative to the elements, uncorrected (eV per atom) = -0.935
&SYSTEM
  ibrav = 0, nat = 16, ntyp = 4
/
ATOMIC_SPECIES
Cs 132.91 Cs.upf
Au 196.97 Au.upf
I 126.90 I.upf
S 32.06 S.upf
CELL_PARAMETERS angstrom
-6.586 -0.663 -8.598
5.252 -8.714 -3.351
-4.171 0.396 10.011
ATOMIC_POSITIONS angstrom
Cs 0.201 -6.352 0.336
Cs -2.415 -2.258 2.024
Cs -0.325 -2.498 -2.977
Cs -5.706 -2.629 -2.274
Cs -3.623 -2.829 -7.282
Cs -3.089 -6.723 -3.962
Cs -1.882 -6.152 5.344
Cs -5.180 -6.483 1.039
Au -0.667 -4.688 -5.975
Au -2.752 -4.491 -0.969
Au 0.541 -4.159 3.330
I -2.085 0.198 5.006
I -5.378 -0.134 0.707
I 0.000 0.000 0.000
I -3.293 -0.331 -4.299
S 2.626 -4.357 -1.676